No. 1
{
  "formula": "Pm8Tl2Au",
  "functional": "PBE",
  "state": "optimized geometry",
  "cell": [[-2.6280, 4.3375, 7.3830], [2.6280, -4.3375, 7.3830], [2.6280, 4.3375, -7.3830]],
  "species": ["Pm", "Pm", "Pm", "Pm", "Pm", "Pm", "Pm", "Pm", "Tl", "Tl", "Au"],
  "frac_coords": [[0.1235, 0.3466, 0.7769], [0.1295, 0.1295, 0.0000], [0.3191, 0.0000, 0.3191], [0.4303, 0.6534, 0.7769], [0.5697, 0.3466, 0.2231], [0.6809, 0.0000, 0.6809], [0.8705, 0.8705, 0.0000], [0.8765, 0.6534, 0.2231], [0.3021, 0.8021, 0.5000], [0.6979, 0.1979, 0.5000], [0.0000, 0.5000, 0.5000]],
  "energy_ev_per_cell": -48.00,
  "density_kg_m3": 8710,
  "e_above_lowest_polymorph_mev_per_atom": 74,
  "e_form_ev_per_atom": -0.18,
  "m_tot_mub_per_cell": 0.00,
  "sg": "No. 71"
}

***

No. 2
{
  "formula": "PmTlAu2",
  "functional": "PBE",
  "state": "optimized geometry",
  "cell": [[4.9092, 0.0000, 0.0000], [0.0000, 4.9092, 0.0000], [0.0000, 0.0000, 3.9654]],
  "species": ["Pm", "Tl", "Au", "Au"],
  "frac_coords": [[0.0000, 0.0000, 0.0000], [0.5000, 0.5000, 0.0000], [0.0000, 0.5000, 0.5000], [0.5000, 0.0000, 0.5000]],
  "energy_ev_per_cell": -15.52,
  "density_kg_m3": 12916,
  "e_above_lowest_polymorph_mev_per_atom": 104,
  "e_form_ev_per_atom": -0.46,
  "m_tot_mub_per_cell": 0.00,
  "sg": "No. 123"
}

***

No. 3
{
  "formula": "Pm11Tl9Au4",
  "functional": "PBE",
  "state": "optimized geometry",
  "cell": [[7.5755, -11.4465, 0.0000], [7.5755, 11.4465, 0.0000], [0.0000, 0.0000, 3.8546]],
  "species": ["Pm", "Pm", "Pm", "Pm", "Pm", "Pm", "Pm", "Pm", "Pm", "Pm", "Pm", "Tl", "Tl", "Tl", "Tl", "Tl", "Tl", "Tl", "Tl", "Tl", "Au", "Au", "Au", "Au"],
  "frac_coords": [[0.0000, 0.0000, 0.0000], [0.0715, 0.4128, 0.0000], [0.1635, 0.8365, 0.0000], [0.3011, 0.3011, 0.0000], [0.3682, 0.6318, 0.0000], [0.4128, 0.0715, 0.0000], [0.5872, 0.9285, 0.0000], [0.6318, 0.3682, 0.0000], [0.6989, 0.6989, 0.0000], [0.8365, 0.1635, 0.0000], [0.9285, 0.5872, 0.0000], [0.0639, 0.2119, 0.5000], [0.1516, 0.6320, 0.5000], [0.2119, 0.0639, 0.5000], [0.3680, 0.8484, 0.5000], [0.5000, 0.5000, 0.5000], [0.6320, 0.1516, 0.5000], [0.7881, 0.9361, 0.5000], [0.8484, 0.3680, 0.5000], [0.9361, 0.7881, 0.5000], [0.2503, 0.4489, 0.5000], [0.4489, 0.2503, 0.5000], [0.5511, 0.7497, 0.5000], [0.7497, 0.5511, 0.5000]],
  "energy_ev_per_cell": -99.27,
  "density_kg_m3": 10488,
  "e_form_ev_per_atom": -0.53,
  "m_tot_mub_per_cell": 0.00,
  "sg": "No. 65"
}

***

No. 4
{
  "formula": "Pm3Tl3Au2",
  "functional": "PBE",
  "state": "optimized geometry",
  "cell": [[8.0671, 0.0000, 0.0000], [-4.0335, 6.9863, 0.0000], [0.0000, 0.0000, 3.8185]],
  "species": ["Pm", "Pm", "Pm", "Tl", "Tl", "Tl", "Au", "Au"],
  "frac_coords": [[0.0000, 0.5917, 0.0000], [0.4083, 0.4083, 0.0000], [0.5917, 0.0000, 0.0000], [0.0000, 0.2345, 0.5000], [0.2345, 0.0000, 0.5000], [0.7655, 0.7655, 0.5000], [0.3333, 0.6667, 0.5000], [0.6667, 0.3333, 0.5000]],
  "energy_ev_per_cell": -32.32,
  "density_kg_m3": 11127,
  "e_form_ev_per_atom": -0.55,
  "m_tot_mub_per_cell": 0.00,
  "sg": "No. 189"
}

***

No. 5
{
  "formula": "Pm5TlAu3",
  "functional": "PBE",
  "state": "optimized geometry",
  "cell": [[9.0205, 0.0000, 0.0000], [-4.5102, 7.8120, 0.0000], [0.0000, 0.0000, 7.0619]],
  "species": ["Pm", "Pm", "Pm", "Pm", "Pm", "Pm", "Pm", "Pm", "Pm", "Pm", "Tl", "Tl", "Au", "Au", "Au", "Au", "Au", "Au"],
  "frac_coords": [[0.0000, 0.2926, 0.2500], [0.0000, 0.7074, 0.7500], [0.2926, 0.0000, 0.2500], [0.2926, 0.2926, 0.7500], [0.3333, 0.6667, 0.0000], [0.3333, 0.6667, 0.5000], [0.6667, 0.3333, 0.0000], [0.6667, 0.3333, 0.5000], [0.7074, 0.0000, 0.7500], [0.7074, 0.7074, 0.2500], [0.0000, 0.0000, 0.0000], [0.0000, 0.0000, 0.5000], [0.0000, 0.3808, 0.7500], [0.0000, 0.6192, 0.2500], [0.3808, 0.0000, 0.7500], [0.3808, 0.3808, 0.2500], [0.6192, 0.0000, 0.2500], [0.6192, 0.6192, 0.7500]],
  "energy_ev_per_cell": -81.48,
  "density_kg_m3": 10145,
  "e_form_ev_per_atom": -0.53,
  "m_tot_mub_per_cell": 0.00,
  "sg": "No. 193"
}

***

No. 6
{
  "formula": "Pm8Tl2Au",
  "functional": "PBE",
  "state": "optimized geometry",
  "cell": [[9.7676, -2.6177, 0.0000], [9.7676, 2.6177, 0.0000], [-1.7250, 0.0000, 6.7226]],
  "species": ["Pm", "Pm", "Pm", "Pm", "Pm", "Pm", "Pm", "Pm", "Tl", "Tl", "Au"],
  "frac_coords": [[0.0149, 0.0149, 0.2727], [0.2096, 0.2096, 0.8204], [0.3468, 0.3468, 0.5086], [0.4086, 0.4086, 0.0323], [0.5914, 0.5914, 0.9677], [0.6532, 0.6532, 0.4914], [0.7904, 0.7904, 0.1796], [0.9851, 0.9851, 0.7273], [0.1812, 0.1812, 0.2555], [0.8188, 0.8188, 0.7445], [0.5000, 0.5000, 0.5000]],
  "energy_ev_per_cell": -48.81,
  "density_kg_m3": 8529,
  "e_above_lowest_polymorph_mev_per_atom": 0,
  "e_form_ev_per_atom": -0.25,
  "m_tot_mub_per_cell": 0.00,
  "sg": "No. 12"
}

***

No. 7
{
  "formula": "PmTlAu2",
  "functional": "PBE",
  "state": "optimized geometry",
  "cell": [[7.2086, 0.0000, 0.0000], [0.0000, 7.2086, 0.0000], [0.0000, 0.0000, 7.2086]],
  "species": ["Pm", "Pm", "Pm", "Pm", "Tl", "Tl", "Tl", "Tl", "Au", "Au", "Au", "Au", "Au", "Au", "Au", "Au"],
  "frac_coords": [[0.0000, 0.0000, 0.0000], [0.0000, 0.5000, 0.5000], [0.5000, 0.0000, 0.5000], [0.5000, 0.5000, 0.0000], [0.0000, 0.0000, 0.5000], [0.0000, 0.5000, 0.0000], [0.5000, 0.0000, 0.0000], [0.5000, 0.5000, 0.5000], [0.2500, 0.2500, 0.2500], [0.2500, 0.2500, 0.7500], [0.2500, 0.7500, 0.2500], [0.2500, 0.7500, 0.7500], [0.7500, 0.2500, 0.2500], [0.7500, 0.2500, 0.7500], [0.7500, 0.7500, 0.2500], [0.7500, 0.7500, 0.7500]],
  "energy_ev_per_cell": -63.76,
  "density_kg_m3": 13181,
  "e_above_lowest_polymorph_mev_per_atom": 0,
  "e_form_ev_per_atom": -0.57,
  "m_tot_mub_per_cell": 0.00,
  "sg": "No. 225"
}

***

No. 8
{
  "formula": "Pm6TlAu2",
  "functional": "PBE",
  "state": "optimized geometry",
  "cell": [[-4.8880, 5.1112, 5.4526], [4.8880, -5.1112, 5.4526], [4.8880, 5.1112, -5.4526]],
  "species": ["Pm", "Pm", "Pm", "Pm", "Pm", "Pm", "Pm", "Pm", "Pm", "Pm", "Pm", "Pm", "Tl", "Tl", "Au", "Au", "Au", "Au"],
  "frac_coords": [[0.0411, 0.2394, 0.8017], [0.1825, 0.2837, 0.4662], [0.1825, 0.7163, 0.8988], [0.3266, 0.0294, 0.7028], [0.3266, 0.6238, 0.2972], [0.4376, 0.2394, 0.1983], [0.5624, 0.7606, 0.8017], [0.6734, 0.3762, 0.7028], [0.6734, 0.9706, 0.2972], [0.8175, 0.2837, 0.1012], [0.8175, 0.7163, 0.5338], [0.9589, 0.7606, 0.1983], [0.0000, 0.0000, 0.0000], [0.5000, 0.5000, 0.0000], [0.1307, 0.6307, 0.5000], [0.3461, 0.0000, 0.3461], [0.6539, 0.0000, 0.6539], [0.8693, 0.3693, 0.5000]],
  "energy_ev_per_cell": -82.55,
  "density_kg_m3": 8949,
  "e_form_ev_per_atom": -0.43,
  "m_tot_mub_per_cell": 0.00,
  "sg": "No. 71"
}